No. 1
First-principles (PBE-GGA) data for a relaxed structure of Cd3NiTe, as listed in Alexandria.

It has space group Pm-3m (No. 221), with a = 5.7412 Å, b = 5.7412 Å, c = 5.7412 Å, α = 90.00°, β = 90.00° and γ = 90.00°. The asymmetric unit holds Cd at (0.0000, 0.0000, 0.5000), Ni at (0.5000, 0.5000, 0.5000) and Te at (0.0000, 0.0000, 0.0000).

The polymorph energy (0 for the lowest one) comes out at 777 meV per atom. The value obtained for the total magnetization is 0.92 μB per cell. For the theoretical density, the calculation gives 4.59 g/cm3. Its uncorrected formation energy is 0.9876 eV per atom. The value obtained for the electronic total energy is -1.346 eV/atom.



No. 2
First-principles (PBE-GGA) data for a relaxed structure of Pr9Sm2Ho, as listed in Alexandria.

It has space group P4/mmm (No. 123), with a = 5.2079 Å, b = 5.2079 Å, c = 15.6247 Å, α = 90.00°, β = 90.00° and γ = 90.00°. The asymmetric unit holds Pr at (0.0000, 0.0000, 0.0000), Pr at (0.0000, 0.0000, 0.3325), Pr at (0.0000, 0.5000, 0.1653), Pr at (0.0000, 0.5000, 0.5000), Sm at (0.5000, 0.5000, 0.3325) and Ho at (0.5000, 0.5000, 0.0000).

The value obtained for the total magnetization is 0.00 μB per cell. For the theoretical density, the calculation gives 6.79 g/cm3. The energy of formation is 0.01 eV per atom. The value obtained for the electronic total energy is -4.739 eV/atom.



No. 3
First-principles (PBE-GGA) data for a relaxed structure of PuTlAuCl6, as listed in Alexandria.

It has space group P-31c (No. 163), with a = 6.8417 Å, b = 6.8417 Å, c = 14.5032 Å, α = 90.00°, β = 90.00° and γ = 120.00°. The asymmetric unit holds Pu at (0.3333, 0.6667, 0.2500), Tl at (0.0000, 0.0000, 0.0000), Au at (0.3333, 0.6667, 0.7500) and Cl at (0.0126, 0.3642, 0.1430).

The value obtained for the total magnetization is 7.95 μB per cell. For the theoretical density, the calculation gives 4.85 g/cm3. Its uncorrected formation energy is -1.1402 eV per atom. The value obtained for the electronic total energy is -4.591 eV/atom.



No. 4
First-principles (PBE-GGA) data for a relaxed structure of Rb2CdPtI, as listed in Alexandria.

It has space group P4/mmm (No. 123), with a = 6.4667 Å, b = 6.4667 Å, c = 5.2061 Å, α = 90.00°, β = 90.00° and γ = 90.00°. The asymmetric unit holds Rb at (0.0000, 0.5000, 0.0000), Cd at (0.0000, 0.0000, 0.5000), Pt at (0.0000, 0.0000, 0.0000) and I at (0.5000, 0.5000, 0.5000).

The value obtained for the total magnetization is 0.00 μB per cell. For the theoretical density, the calculation gives 4.62 g/cm3. Its uncorrected formation energy is -0.5091 eV per atom. The value obtained for the electronic total energy is -2.597 eV/atom.